Ca3UP4 | GGA-PBE | optimized geometry

Cell: 7.072 7.042 8.174 Å, 90.00 90.00 109.91°
Sites, in units of the cell vectors:
P 0.979 0.238 0.644
P 0.502 0.217 0.893
P 0.479 0.238 0.356
P 0.002 0.217 0.107
P 0.998 0.783 0.893
P 0.521 0.762 0.644
P 0.498 0.783 0.107
P 0.021 0.762 0.356
Ca 0.750 0.000 0.377
Ca 0.250 0.000 0.623
Ca 0.750 0.500 0.619
Ca 0.750 0.500 0.127
Ca 0.250 0.500 0.381
Ca 0.250 0.500 0.873
U 0.750 0.000 0.869
U 0.250 0.000 0.131

Properties
Calculated formation energy in meV per atom: -1094
ρ in g/cm3: 4.2